No. 1
! CrF PBE+U optimized geometry; values from VASP
&SYSTEM
  ibrav = 0, nat = 8, ntyp = 2
/
ATOMIC_SPECIES
Cr 52.00 Cr.upf
F 19.00 F.upf
CELL_PARAMETERS angstrom
-4.355 -0.989 2.690
2.273 -4.172 2.147
1.745 2.967 3.916
ATOMIC_POSITIONS angstrom
Cr 0.000 0.000 0.000
Cr 2.009 -0.603 3.032
Cr -1.305 0.989 3.303
Cr -1.041 -2.580 2.419
F -0.084 -0.548 2.188
F 1.925 -1.151 5.220
F -1.389 0.441 5.491
F -1.125 -3.129 4.607
! Distance to the lowest polymorph of the same formula (meV per atom): 238


No. 2
! CrF PBE+U optimized geometry; values from VASP
&SYSTEM
  ibrav = 0, nat = 12, ntyp = 2
/
ATOMIC_SPECIES
Cr 52.00 Cr.upf
F 19.00 F.upf
CELL_PARAMETERS angstrom
-0.294 -2.854 1.717
-2.227 -2.326 -4.248
10.706 -3.370 -3.766
ATOMIC_POSITIONS angstrom
Cr 8.182 -4.095 -5.404
Cr 5.504 -4.713 -3.635
Cr 2.691 -3.828 -2.645
Cr 0.289 -1.611 -2.627
Cr 5.132 -1.916 -2.305
Cr -2.153 -3.523 -2.968
F 6.182 -4.063 -5.694
F 7.504 -4.745 -3.345
F 1.570 -2.877 -1.258
F 1.409 -2.561 -4.015
F -0.560 -0.586 -1.069
F 3.540 -4.853 -4.204
! Distance to the lowest polymorph of the same formula (meV per atom): 55


No. 3
! CrF2 PBE+U optimized geometry; values from VASP
&SYSTEM
  ibrav = 0, nat = 6, ntyp = 2
/
ATOMIC_SPECIES
Cr 52.00 Cr.upf
F 19.00 F.upf
CELL_PARAMETERS angstrom
-0.154 -1.049 3.867
-3.851 -1.030 -0.432
3.547 -4.168 -3.069
ATOMIC_POSITIONS angstrom
Cr 0.000 0.000 0.000
Cr 0.695 -3.128 1.258
F 1.378 -5.430 0.660
F -1.141 -3.945 0.963
F 0.013 -0.827 1.855
F 0.683 -2.302 -0.597
! VASP energy (Ry per atom): -0.46112


No. 4
! CrF PBE+U optimized geometry; values from VASP
&SYSTEM
  ibrav = 0, nat = 8, ntyp = 2
/
ATOMIC_SPECIES
Cr 52.00 Cr.upf
F 19.00 F.upf
CELL_PARAMETERS angstrom
4.899 0.000 0.000
0.000 4.899 0.000
0.000 0.000 4.899
ATOMIC_POSITIONS angstrom
Cr 2.449 2.449 2.449
Cr 2.449 0.000 0.000
Cr 0.000 2.449 0.000
Cr 0.000 0.000 2.449
F 0.000 0.000 0.000
F 0.000 2.449 2.449
F 2.449 0.000 2.449
F 2.449 2.449 0.000
! Distance to the lowest polymorph of the same formula (meV per atom): 238


no.,theoretical density (kg/m3),N(E_F) (states/eV/atom)
1,3327,1.6044
2,3352,0.1081
3,3321,0.0000
4,4011,1.0207